5
Lattice="3.731 0.000 0.000 0.000 3.731 0.000 0.000 0.000 5.299" Properties=species:S:1:pos:R:3 comment="CrCdPO2 (GGA+U, relaxed)" spacegroup="P4/mmm, No. 123" de_polymorph_ev_per_atom=0.0000 dos_at_fermi_per_ev_cell=2.7 pbc="T T T"
Cr 0.000 0.000 0.000
O 0.000 1.865 0.000
O 1.865 0.000 0.000
P 0.000 0.000 2.650
Cd 1.865 1.865 2.650